Record 1
Compound: Tm3Sb2C
Source: Alexandria
Functional: PBE-GGA
Structure: optimized geometry

Cell: 7.2052 7.2052 6.5384 Å, 100.07 100.07 114.72°
Last column: nearest neighbours and their distance in Å.
Fractional coordinates of all 12 atoms:
1 Tm 0.0000 0.5000 0.5000  4 Sb 2.93-2.99, 2 C 3.06
2 Tm 0.1067 0.2450 0.0042  2 C 2.42
3 Tm 0.2450 0.1067 0.5042  2 C 2.42
4 Tm 0.5000 0.0000 0.0000  4 Sb 2.93-2.99, 2 C 3.06
5 Tm 0.7550 0.8933 0.4958  2 C 2.42
6 Tm 0.8933 0.7550 0.9958  2 C 2.42
7 Sb 0.2747 0.7253 0.2500  6 Tm 2.93-3.15
8 Sb 0.4260 0.5740 0.7500  4 Tm 2.99-3.05
9 Sb 0.5740 0.4260 0.2500  4 Tm 2.99-3.05
10 Sb 0.7253 0.2747 0.7500  6 Tm 2.93-3.15
11 C 0.0664 0.9336 0.7500  4 Tm 2.42
12 C 0.9336 0.0664 0.2500  4 Tm 2.42

Output
raw formation energy = -596 meV per atom
ρ = 8.7 g/cm3
space-group type = No. 15
total energy = -5.74 eV per atom


Record 2
Compound: TlFeTe2
Source: Alexandria
Functional: PBE-GGA
Structure: optimized geometry

Cell: 9.0392 9.0392 9.0392 Å, 158.44 156.65 31.99°
Last column: nearest neighbours and their distance in Å.
Fractional coordinates of all 4 atoms:
1 Tl 0.0000 0.0000 0.0000  4 Tl 3.38-3.66, 6 Te 3.49-3.56
2 Fe 0.7613 0.2613 0.5000  6 Te 2.61-2.75
3 Te 0.3290 0.8290 0.5000  4 Fe 2.75
4 Te 0.6468 0.6468 0.0000  2 Fe 2.61

Output
raw formation energy = 80 meV per atom
ρ = 8.0 g/cm3
space-group type = No. 44
total energy = -4.20 eV per atom


Record 3
Compound: Li5Hg4As
Source: Alexandria
Functional: PBE-GGA
Structure: optimized geometry

Cell: 3.2383 3.2383 17.3622 Å, 90.00 90.00 90.00°
Last column: nearest neighbours and their distance in Å.
Fractional coordinates of all 10 atoms:
1 Li 0.0000 0.0000 0.0000  8 Hg 2.88
2 Li 0.0000 0.0000 0.2030  8 Hg 2.84-2.90
3 Li 0.0000 0.0000 0.4121  4 As 2.75, 4 Hg 3.00, 1 Li 3.05
4 Li 0.0000 0.0000 0.5879  4 As 2.75, 4 Hg 3.00, 1 Li 3.05
5 Li 0.0000 0.0000 0.7970  8 Hg 2.84-2.90
6 Hg 0.5000 0.5000 0.1002  8 Li 2.88-2.90
7 Hg 0.5000 0.5000 0.3002  8 Li 2.84-3.00
8 Hg 0.5000 0.5000 0.6998  8 Li 2.84-3.00
9 Hg 0.5000 0.5000 0.8998  8 Li 2.88-2.90
10 As 0.5000 0.5000 0.5000  8 Li 2.75

Output
ρ = 8.3 g/cm3
space-group type = No. 123
total energy = -1.92 eV per atom
formation energy = -0.38 eV per atom


Record 4
Compound: Pm4TlCdO
Source: Alexandria
Functional: PBE-GGA
Structure: optimized geometry

Cell: 8.8952 8.8952 6.8331 Å, 90.00 90.00 134.88°
Last column: nearest neighbours and their distance in Å.
Fractional coordinates of all 14 atoms:
1 Pm 0.0000 0.5000 0.0000  2 O 2.41
2 Pm 0.0000 0.5000 0.5000  2 O 2.41
3 Pm 0.0768 0.9232 0.7500  1 O 2.84, 1 Cd 3.16
4 Pm 0.4213 0.5787 0.7500  1 O 2.82, 1 Tl 3.13
5 Pm 0.5000 0.0000 0.0000  2 O 2.41
6 Pm 0.5000 0.0000 0.5000  2 O 2.41
7 Pm 0.5787 0.4213 0.2500  1 O 2.82, 1 Tl 3.13
8 Pm 0.9232 0.0768 0.2500  1 O 2.84, 1 Cd 3.16
9 Tl 0.3880 0.6120 0.2500  9 Pm 3.13-3.46
10 Tl 0.6120 0.3880 0.7500  9 Pm 3.13-3.46
11 Cd 0.1155 0.8845 0.2500  9 Pm 3.16-3.48
12 Cd 0.8845 0.1155 0.7500  9 Pm 3.16-3.48
13 O 0.2496 0.7504 0.7500  4 Pm 2.41
14 O 0.7504 0.2496 0.2500  4 Pm 2.41

Output
raw formation energy = -958 meV per atom
ρ = 7.9 g/cm3
space-group type = No. 63
total energy = -4.85 eV per atom


Record 5
Compound: ReOsS
Source: Alexandria
Functional: PBE-GGA
Structure: optimized geometry

Cell: 12.1659 2.8576 2.8576 Å, 60.01 90.00 90.00°
Last column: nearest neighbours and their distance in Å.
Fractional coordinates of all 6 atoms:
1 Re 0.0000 0.0000 0.0000  6 S 2.44
2 Re 0.5000 0.0017 0.0017  6 Os 2.66, 6 Re 2.86
3 Os 0.3286 0.3351 0.3351  3 Re 2.66, 3 S 2.74-2.75, 6 Os 2.86
4 Os 0.6714 0.3351 0.3351  3 Re 2.66, 3 S 2.74-2.75, 6 Os 2.86
5 S 0.1477 0.6665 0.6665  3 Re 2.44
6 S 0.8523 0.6665 0.6665  3 Re 2.44

Output
raw formation energy = 185 meV per atom
ρ = 15.8 g/cm3
space-group type = No. 38
total energy = -9.08 eV per atom


Record 6
Compound: CsTeH2
Source: Alexandria
Functional: PBE-GGA
Structure: optimized geometry

Cell: 3.8964 5.2252 9.8672 Å, 89.96 89.61 89.94°
Last column: nearest neighbours and their distance in Å.
Fractional coordinates of all 8 atoms:
1 Cs 0.0000 0.0000 0.0000  4 H 2.97-2.99
2 Cs 0.9995 0.0038 0.5000  4 H 2.97-2.98
3 Te 0.4838 0.5019 0.7498  2 H 1.88
4 Te 0.5159 0.5018 0.2504  2 H 1.88
5 H 0.0875 0.5004 0.8590  1 Te 1.88
6 H 0.0914 0.5036 0.6403  1 Te 1.88
7 H 0.9084 0.5051 0.3598  1 Te 1.88
8 H 0.9121 0.4984 0.1412  1 Te 1.88

Output
E above lowest polymorph = 389.5 meV/atom
ρ = 4.3 g/cm3
space-group type = No. 1
total energy = -2.71 eV per atom


Record 7
Compound: Ho3Mg3Sc2
Source: Alexandria
Functional: PBE-GGA
Structure: optimized geometry

Cell: 11.3431 11.3431 11.3431 Å, 161.58 152.82 33.03°
Last column: nearest neighbours and their distance in Å.
Fractional coordinates of all 8 atoms:
1 Ho 0.0000 0.0000 0.0000  8 Mg 3.21-3.22
2 Ho 0.3707 0.8707 0.5000  6 Mg 3.23-3.35, 4 Sc 3.43-3.54
3 Ho 0.6293 0.1293 0.5000  6 Mg 3.23-3.35, 4 Sc 3.43-3.54
4 Mg 0.1219 0.6219 0.5000  2 Sc 3.09, 6 Ho 3.21-3.23
5 Mg 0.5000 0.5000 0.0000  8 Ho 3.22-3.35
6 Mg 0.8781 0.3781 0.5000  2 Sc 3.09, 6 Ho 3.21-3.23
7 Sc 0.2368 0.2368 0.0000  2 Mg 3.09, 4 Sc 3.28, 2 Ho 3.43
8 Sc 0.7632 0.7632 0.0000  2 Mg 3.09, 4 Sc 3.28, 2 Ho 3.43

Output
ρ = 5.2 g/cm3
space-group type = No. 71
total energy = -3.93 eV per atom
formation energy = -0.03 eV per atom


Record 8
Compound: DyTiIr2
Source: Alexandria
Functional: PBE-GGA
Structure: optimized geometry

Cell: 3.0986 3.0986 7.2613 Å, 90.00 90.00 90.00°
Last column: nearest neighbours and their distance in Å.
Fractional coordinates of all 4 atoms:
1 Dy 0.0000 0.0000 0.0000  8 Ir 3.04, 4 Dy 3.10
2 Ti 0.0000 0.0000 0.5000  8 Ir 2.67
3 Ir 0.5000 0.5000 0.2896  4 Ti 2.67
4 Ir 0.5000 0.5000 0.7104  4 Ti 2.67

Output
E above lowest polymorph = 0.0 meV/atom
ρ = 14.2 g/cm3
space-group type = No. 123
total energy = -8.36 eV per atom
formation energy = -0.80 eV per atom


Record 9
Compound: CaLaBe2
Source: Alexandria
Functional: PBE-GGA
Structure: optimized geometry

Cell: 4.0840 6.5762 6.5762 Å, 33.12 90.00 90.00°
Last column: nearest neighbours and their distance in Å.
Fractional coordinates of all 4 atoms:
1 Ca 0.0000 0.0000 0.0000  6 Be 2.92-3.06
2 La 0.5000 0.7206 0.7206  6 Be 2.92-3.06
3 Be 0.0000 0.3229 0.3229  2 Be 2.25
4 Be 0.5000 0.3977 0.3977  2 Be 2.25

Output
E above lowest polymorph = 0.0 meV/atom
ρ = 3.4 g/cm3
space-group type = No. 38
total energy = -3.36 eV per atom
formation energy = 0.23 eV per atom


Record 10
Compound: CsInHg14
Source: Alexandria
Functional: PBE-GGA
Structure: optimized geometry

Cell: 10.7626 10.7626 11.1466 Å, 116.31 116.31 93.88°
Last column: nearest neighbours and their distance in Å.
Fractional coordinates of all 32 atoms:
1 Cs 0.1282 0.8718 0.7500  12 Hg 3.80-4.14
2 Cs 0.8718 0.1282 0.2500  12 Hg 3.80-4.14
3 In 0.0000 0.5000 0.0000  10 Hg 3.25-3.53
4 In 0.5000 0.0000 0.5000  10 Hg 3.25-3.53
5 Hg 0.0498 0.8578 0.3509  5 Hg 3.09-3.33
6 Hg 0.0770 0.4832 0.7432  8 Hg 3.14-3.51, 1 In 3.25
7 Hg 0.1298 0.2920 0.1712  5 Hg 3.09-3.40
8 Hg 0.1422 0.9502 0.1491  5 Hg 3.09-3.33
9 Hg 0.1887 0.5102 0.5280  7 Hg 3.14-3.35
10 Hg 0.2521 0.3441 0.9769  9 Hg 3.18-3.47, 1 In 3.33
11 Hg 0.2838 0.6799 0.3795  7 Hg 3.25-3.55, 2 In 3.34-3.38
12 Hg 0.2920 0.1298 0.6712  5 Hg 3.09-3.40
13 Hg 0.3201 0.7162 0.1205  7 Hg 3.25-3.55, 2 In 3.34-3.38
14 Hg 0.3441 0.2521 0.4769  9 Hg 3.18-3.47, 1 In 3.33
15 Hg 0.3986 0.4676 0.8264  9 Hg 3.10-3.35
16 Hg 0.4676 0.3986 0.3264  9 Hg 3.10-3.35
17 Hg 0.4832 0.0770 0.2432  8 Hg 3.14-3.51, 1 In 3.25
18 Hg 0.4898 0.8113 0.9720  7 Hg 3.14-3.35
19 Hg 0.5102 0.1887 0.0280  7 Hg 3.14-3.35
20 Hg 0.5168 0.9230 0.7568  8 Hg 3.14-3.51, 1 In 3.25
21 Hg 0.5324 0.6014 0.6736  9 Hg 3.10-3.35
22 Hg 0.6014 0.5324 0.1736  9 Hg 3.10-3.35
23 Hg 0.6559 0.7479 0.5231  9 Hg 3.18-3.47, 1 In 3.33
24 Hg 0.6799 0.2838 0.8795  7 Hg 3.25-3.55, 2 In 3.34-3.38
25 Hg 0.7080 0.8702 0.3288  5 Hg 3.09-3.40
26 Hg 0.7162 0.3201 0.6205  7 Hg 3.25-3.55, 2 In 3.34-3.38
27 Hg 0.7479 0.6559 0.0231  9 Hg 3.18-3.47, 1 In 3.33
28 Hg 0.8113 0.4898 0.4720  7 Hg 3.14-3.35
29 Hg 0.8578 0.0498 0.8509  5 Hg 3.09-3.33
30 Hg 0.8702 0.7080 0.8288  5 Hg 3.09-3.40
31 Hg 0.9230 0.5168 0.2568  8 Hg 3.14-3.51, 1 In 3.25
32 Hg 0.9502 0.1422 0.6491  5 Hg 3.09-3.33

Output
ρ = 10.4 g/cm3
space-group type = No. 15
total energy = -0.55 eV per atom
formation energy = -0.06 eV per atom


Number 1: DOS at the Fermi energy 2.83 states/eV/cell. Number 2: DOS at the Fermi energy 4.58 states/eV/cell. Number 3: DOS at the Fermi energy 3.49 states/eV/cell. Number 4: DOS at the Fermi energy 9.50 states/eV/cell. Number 5: DOS at the Fermi energy 1.93 states/eV/cell. Number 6: DOS at the Fermi energy 1.32 states/eV/cell. Number 7: DOS at the Fermi energy 12.19 states/eV/cell. Number 8: DOS at the Fermi energy 3.99 states/eV/cell. Number 9: DOS at the Fermi energy 3.71 states/eV/cell. Number 10: DOS at the Fermi energy 6.33 states/eV/cell.